[1]
This record from the Alexandria database describes a relaxed RbIrPtO6 crystal. The functional is PBE.

The space group is P312 (No. 149) and the conventional cell measures 5.3579, 5.3579 and 6.2247 Å, with angles of 90.00, 90.00 and 120.00 degrees. The asymmetric unit holds Rb at (0.0000, 0.0000, 0.0000), Ir at (0.6667, 0.3333, 0.5000), Pt at (0.3333, 0.6667, 0.5000) and O at (0.4012, 0.0075, 0.6755).

The value obtained for the magnetic moment is 0.00 μB/cell. The final energy is -5.833 eV/atom. Its crystal system is trigonal. As for the density of states at the Fermi level: 0.715 states/eV per atom.

---

[2]
This record from the Alexandria database describes a relaxed Eu2BiAs crystal. The functional is PBE.

The space group is R-3m (No. 166, hexagonal axes) and the conventional cell measures 4.2541, 4.2541 and 24.6171 Å, with angles of 90.00, 90.00 and 120.00 degrees. The asymmetric unit holds Eu at (0.0000, 0.0000, 0.2360), Bi at (0.0000, 0.0000, 0.0000) and As at (0.0000, 0.0000, 0.5000).

The value obtained for the magnetic moment is 40.01 μB/cell. The calculation puts the formation energy at -0.92 eV per atom. Its crystal system is trigonal. As for the density of states at the Fermi level: 4.712 states/eV per atom.

---

[3]
This record from the Alexandria database describes a relaxed SmMgSc3 crystal. The functional is PBE.

The space group is Cmcm (No. 63) and the conventional cell measures 5.367, 15.154 and 6.579 Å, with angles of 90.00, 90.00 and 90.00 degrees. The asymmetric unit holds Sm at (0.000, 0.114, 0.250), Mg at (0.000, 0.492, 0.250), Sc at (0.000, 0.130, 0.750) and Sc at (0.000, 0.309, 0.002).

The value obtained for the magnetic moment is 0.00 μB/cell. The calculation puts the formation energy at 0.07 eV per atom. Its crystal system is orthorhombic. As for the density of states at the Fermi level: 1.548 states/eV per atom.

---

[4]
This record from the Alexandria database describes a relaxed Cd2CuF6 crystal. The functional is PBE.

The space group is P4_2/mnm (No. 136) and the conventional cell measures 5.028, 5.028 and 10.314 Å, with angles of 90.00, 90.00 and 90.00 degrees. The asymmetric unit holds Cd at (0.000, 0.000, 0.166), Cu at (0.000, 0.000, 0.500), F at (0.187, 0.187, 0.345) and F at (0.216, 0.216, 0.000).

The value obtained for the magnetic moment is 2.00 μB/cell. The final energy is -3.842 eV/atom. Its crystal system is tetragonal. As for the density of states at the Fermi level: 0.652 states/eV per atom.

---

[5]
This record from the Alexandria database describes a relaxed Nd8Cd2Cu crystal. The functional is PBE.

The space group is C2/m (No. 12) and the conventional cell measures 18.550, 5.368 and 7.000 Å, with angles of 90.00, 104.02 and 90.00 degrees. The asymmetric unit holds Nd at (0.018, 0.000, 0.274), Nd at (0.091, 0.500, 0.949), Nd at (0.154, 0.500, 0.463), Nd at (0.202, 0.000, 0.793), Cd at (0.187, 0.000, 0.231) and Cu at (0.000, 0.500, 0.500).

The value obtained for the magnetic moment is 0.00 μB/cell. The calculation puts the formation energy at -0.09 eV per atom. Its crystal system is monoclinic. As for the density of states at the Fermi level: 1.142 states/eV per atom.

---

[6]
This record from the Alexandria database describes a relaxed Mg2CoRe crystal. The functional is PBE.

The space group is Imm2 (No. 44) and the conventional cell measures 2.802, 4.646 and 9.554 Å, with angles of 90.00, 90.00 and 90.00 degrees. The asymmetric unit holds Mg at (0.000, 0.000, 0.000), Mg at (0.000, 0.500, 0.211), Co at (0.000, 0.000, 0.477) and Re at (0.000, 0.500, 0.770).

The value obtained for the magnetic moment is 0.00 μB/cell. As for the energy above the most stable polymorph in this dataset: 199 meV per atom. The calculation puts the formation energy at 0.29 eV per atom. Its crystal system is orthorhombic. As for the density of states at the Fermi level: 0.778 states/eV per atom.

---

[7]
This record from the Alexandria database describes a relaxed Sn2Hg4Pb5 crystal. The functional is PBE.

The space group is C2/m (No. 12) and the conventional cell measures 23.347, 3.331 and 8.366 Å, with angles of 90.00, 95.28 and 90.00 degrees. The asymmetric unit holds Sn at (0.230, 0.000, 0.333), Hg at (0.047, 0.000, 0.851), Hg at (0.135, 0.500, 0.579), Pb at (0.000, 0.500, 0.500), Pb at (0.093, 0.000, 0.224) and Pb at (0.189, 0.000, 0.918).

The value obtained for the magnetic moment is 0.00 μB/cell. As for the energy above the most stable polymorph in this dataset: 0 meV per atom. The calculation puts the formation energy at 0.05 eV per atom. Its crystal system is monoclinic. As for the density of states at the Fermi level: 0.460 states/eV per atom.

---

[8]
This record from the Alexandria database describes a relaxed Pm7Pr2Y2 crystal. The functional is PBE.

The space group is C2/m (No. 12) and the conventional cell measures 11.680, 11.568 and 6.135 Å, with angles of 90.00, 112.43 and 90.00 degrees. The asymmetric unit holds Pm at (0.000, 0.000, 0.000), Pm at (0.078, 0.500, 0.801), Pm at (0.181, 0.229, 0.176), Pr at (0.230, 0.000, 0.599) and Y at (0.000, 0.218, 0.500).

The value obtained for the magnetic moment is 0.00 μB/cell. As for the energy above the most stable polymorph in this dataset: 0 meV per atom. The calculation puts the formation energy at 0.14 eV per atom. Its crystal system is monoclinic. As for the density of states at the Fermi level: 1.488 states/eV per atom.

---

[9]
This record from the Alexandria database describes a relaxed Ac6Ni2RuBr3 crystal. The functional is PBE.

The space group is C2/m (No. 12) and the conventional cell measures 20.718, 4.317 and 9.647 Å, with angles of 90.00, 112.25 and 90.00 degrees. The asymmetric unit holds Ac at (0.011, 0.000, 0.216), Ac at (0.152, 0.500, 0.113), Ac at (0.179, 0.500, 0.551), Ni at (0.169, 0.000, 0.337), Ru at (0.000, 0.500, 0.000), Br at (0.000, 0.500, 0.500) and Br at (0.166, 0.000, 0.831).

The value obtained for the magnetic moment is 0.00 μB/cell. The final energy is -5.079 eV/atom. Its crystal system is monoclinic. As for the density of states at the Fermi level: 0.473 states/eV per atom.

---

[10]
This record from the Alexandria database describes a relaxed Na5TeO5 crystal. The functional is PBE.

The space group is C2 (No. 5) and the conventional cell measures 10.760, 4.821 and 6.531 Å, with angles of 90.00, 108.91 and 90.00 degrees. The asymmetric unit holds Na at (0.000, 0.000, 0.000), Na at (0.176, 0.505, 0.357), Na at (0.195, 0.505, 0.822), Te at (0.000, 0.027, 0.500), O at (0.000, 0.427, 0.500), O at (0.136, 0.002, 0.342) and O at (0.149, 0.002, 0.798).

The value obtained for the magnetic moment is 1.01 μB/cell. The final energy is -4.539 eV/atom. Its crystal system is monoclinic. As for the density of states at the Fermi level: 0.238 states/eV per atom.

---

[11]
This record from the Alexandria database describes a relaxed Pd2AuI2 crystal. The functional is PBE.

The space group is I4/mmm (No. 139) and the conventional cell measures 3.892, 3.892 and 15.733 Å, with angles of 90.00, 90.00 and 90.00 degrees. The asymmetric unit holds Pd at (0.000, 0.500, 0.250), Au at (0.000, 0.000, 0.000) and I at (0.000, 0.000, 0.381).

The value obtained for the magnetic moment is 0.00 μB/cell. As for the energy above the most stable polymorph in this dataset: 0 meV per atom. Its crystal system is tetragonal. As for the density of states at the Fermi level: 1.311 states/eV per atom.

---

[12]
This record from the Alexandria database describes a relaxed Th6Ru2PbSe3 crystal. The functional is PBE.

The space group is C2/m (No. 12) and the conventional cell measures 18.785, 4.204 and 8.846 Å, with angles of 90.00, 105.23 and 90.00 degrees. The asymmetric unit holds Th at (0.016, 0.000, 0.272), Th at (0.174, 0.500, 0.122), Th at (0.175, 0.500, 0.569), Ru at (0.171, 0.000, 0.341), Pb at (0.000, 0.500, 0.000), Se at (0.000, 0.500, 0.500) and Se at (0.158, 0.000, 0.840).

The value obtained for the magnetic moment is 0.00 μB/cell. The final energy is -7.414 eV/atom. Its crystal system is monoclinic. As for the density of states at the Fermi level: 0.604 states/eV per atom.